Record 1
VASP calculation (GGA-PBE) on an optimized crystal structure of LaYSi2Ni2.

Summary:
Calculated density: 5.729 Mg/m³
DFT total energy: -6.3914 eV per atom

a b c (Å): 4.0151 4.0151 8.3333
angles (deg): 90.00 90.00 120.00
Last column: nearest neighbours and their distance in Å.
Fractional coordinates of all 6 atoms:
La 0.0000 0.0000 0.0000  6 Si 3.19, 6 Ni 3.20
Y 0.0000 0.0000 0.5000  6 Ni 3.03, 6 Si 3.05
Si 0.3333 0.6667 0.2624  3 Ni 2.32
Si 0.6667 0.3333 0.7376  3 Ni 2.32
Ni 0.3333 0.6667 0.7350  3 Si 2.32
Ni 0.6667 0.3333 0.2650  3 Si 2.32


Record 2
VASP calculation (GGA-PBE) on an optimized crystal structure of Li2Er2TmPb2.

Summary:
Calculated density: 8.785 Mg/m³
DFT formation energy: -183 kJ/mol of formula units

a b c (Å): 9.1788 9.1788 9.1788
angles (deg): 30.46 30.46 30.46
Last column: nearest neighbours and their distance in Å.
Fractional coordinates of all 7 atoms:
Li 0.0972 0.0972 0.0972  3 Pb 2.78
Li 0.9028 0.9028 0.9028  3 Pb 2.78
Er 0.3711 0.3711 0.3711  3 Li 3.19, 4 Pb 3.20-3.56, 1 Tm 3.38, 3 Er 3.42
Er 0.6289 0.6289 0.6289  3 Li 3.19, 4 Pb 3.20-3.56, 1 Tm 3.38, 3 Er 3.42
Tm 0.5000 0.5000 0.5000  6 Pb 3.31, 6 Li 3.33, 2 Er 3.38
Pb 0.2353 0.2353 0.2353  3 Li 2.78
Pb 0.7647 0.7647 0.7647  3 Li 2.78


Record 3
VASP calculation (GGA-PBE) on an optimized crystal structure of CaTcPb2.

Summary:
Calculated density: 8.141 Mg/m³
DFT formation energy: 222 kJ/mol of formula units

a b c (Å): 10.6613 10.6613 10.6613
angles (deg): 154.43 154.43 36.47
Last column: nearest neighbours and their distance in Å.
Fractional coordinates of all 8 atoms:
Ca 0.0000 0.0000 0.0000  4 Pb 3.12, 4 Tc 3.34
Ca 0.7500 0.2500 0.5000  4 Pb 3.12, 4 Tc 3.34
Tc 0.2500 0.7500 0.5000  4 Pb 2.96
Tc 0.5000 0.5000 0.0000  4 Pb 2.96
Pb 0.1694 0.6250 0.0444  2 Tc 2.96, 2 Pb 3.05, 2 Ca 3.12
Pb 0.3750 0.4194 0.5444  2 Tc 2.96, 2 Pb 3.05, 2 Ca 3.12
Pb 0.5806 0.1250 0.9556  2 Tc 2.96, 2 Pb 3.05, 2 Ca 3.12
Pb 0.8750 0.8306 0.4556  2 Tc 2.96, 2 Pb 3.05, 2 Ca 3.12


Record 4
VASP calculation (GGA-PBE) on an optimized crystal structure of PrY5Tm4.

Summary:
Calculated density: 6.387 Mg/m³
DFT formation energy: 299 kJ/mol of formula units

a b c (Å): 7.8619 7.8619 7.8619
angles (deg): 99.33 99.33 132.51
Last column: nearest neighbours and their distance in Å.
Fractional coordinates of all 10 atoms:
Pr 0.0000 0.0000 0.0000  1 Y 2.87
Y 0.4533 0.4533 0.0000  1 Pr 2.87
Y 0.4911 0.8723 0.9079  4 Tm 3.21-3.52, 1 Pr 3.31, 1 Y 3.31
Y 0.5832 0.4911 0.6188  4 Tm 3.21-3.52, 1 Pr 3.31, 1 Y 3.31
Y 0.8723 0.9644 0.3812  4 Tm 3.21-3.52, 1 Pr 3.31, 1 Y 3.31
Y 0.9644 0.5832 0.0921  4 Tm 3.21-3.52, 1 Pr 3.31, 1 Y 3.31
Tm 0.1780 0.8788 0.5960  1 Tm 3.20, 4 Y 3.21-3.52
Tm 0.2827 0.5820 0.4040  1 Tm 3.20, 4 Y 3.21-3.52
Tm 0.5820 0.1780 0.2993  1 Tm 3.20, 4 Y 3.21-3.52
Tm 0.8788 0.2827 0.7007  1 Tm 3.20, 4 Y 3.21-3.52


Record 5
VASP calculation (GGA-PBE) on an optimized crystal structure of Ca2CuRh.

Summary:
Calculated density: 4.778 Mg/m³
DFT formation energy: -87 kJ/mol of formula units

a b c (Å): 3.4481 3.4381 7.2288
angles (deg): 90.00 90.09 90.00
Last column: nearest neighbours and their distance in Å.
Fractional coordinates of all 4 atoms:
Ca 0.9999 0.0000 0.2355  4 Rh 2.97, 4 Cu 3.09-3.10
Ca 0.0001 0.0000 0.7645  4 Rh 2.97, 4 Cu 3.09-3.10
Cu 0.5000 0.5000 0.5000  8 Ca 3.09-3.10, 4 Cu 3.44-3.45
Rh 0.5000 0.5000 0.0000  8 Ca 2.97


Record 6
VASP calculation (GGA-PBE) on an optimized crystal structure of LiCuPO4.

Summary:
Calculated density: 3.267 Mg/m³
DFT total energy: -6.2228 eV per atom

a b c (Å): 5.0645 5.4213 7.8903
angles (deg): 90.00 129.07 90.00
Last column: nearest neighbours and their distance in Å.
Fractional coordinates of all 14 atoms:
Li 0.0000 0.1649 0.0000  4 O 1.94-2.00
Li 0.0000 0.8351 0.5000  4 O 1.94-2.00
Cu 0.2543 0.3177 0.7438  4 O 1.95-2.07
Cu 0.2543 0.6823 0.2438  4 O 1.95-2.07
P 0.7414 0.3510 0.2455  4 O 1.55-1.56
P 0.7414 0.6490 0.7455  4 O 1.55-1.56
O 0.0133 0.1904 0.4492  1 P 1.56
O 0.0133 0.8096 0.9492  1 P 1.56
O 0.4164 0.3603 0.2257  1 P 1.55
O 0.4164 0.6397 0.7257  1 P 1.55
O 0.6532 0.2201 0.0393  1 P 1.56
O 0.6532 0.7799 0.5393  1 P 1.56
O 0.8745 0.3851 0.7660  1 P 1.55
O 0.8745 0.6149 0.2660  1 P 1.55


Record 7
VASP calculation (GGA-PBE) on an optimized crystal structure of CaCd2Cu.

Summary:
Calculated density: 6.141 Mg/m³
DFT formation energy: -38 kJ/mol of formula units

a b c (Å): 3.4264 3.4264 7.5647
angles (deg): 90.00 90.00 90.00
Last column: nearest neighbours and their distance in Å.
Fractional coordinates of all 4 atoms:
Ca 0.0000 0.0000 0.0000  4 Cu 3.09, 5 Cd 3.27-3.35, 4 Ca 3.43
Cd 0.0000 0.0000 0.5674  4 Cu 2.77
Cd 0.5000 0.5000 0.3065  8 Cd 3.12-3.43, 1 Cu 3.32, 4 Ca 3.35
Cu 0.5000 0.5000 0.7459  4 Cd 2.77, 4 Ca 3.09


Record 8
VASP calculation (GGA-PBE) on an optimized crystal structure of LaPrAl2.

Summary:
Calculated density: 4.905 Mg/m³
DFT formation energy: -142 kJ/mol of formula units

a b c (Å): 6.9923 6.9923 7.2512
angles (deg): 90.00 90.00 140.40
Last column: nearest neighbours and their distance in Å.
Fractional coordinates of all 8 atoms:
La 0.0618 0.9382 0.7500  8 Al 3.33-3.41, 2 Pr 3.68
La 0.9382 0.0618 0.2500  8 Al 3.33-3.41, 2 Pr 3.68
Pr 0.2240 0.7760 0.2500  6 Al 3.20-3.31
Pr 0.7760 0.2240 0.7500  6 Al 3.20-3.31
Al 0.4049 0.5951 0.5677  2 Al 2.64-2.69
Al 0.4049 0.5951 0.9323  2 Al 2.64-2.69
Al 0.5951 0.4049 0.0677  2 Al 2.64-2.69
Al 0.5951 0.4049 0.4323  2 Al 2.64-2.69


Record 9
VASP calculation (GGA-PBE) on an optimized crystal structure of ZrSc2Tl2.

Summary:
Calculated density: 8.269 Mg/m³
DFT formation energy: 8 kJ/mol of formula units

a b c (Å): 8.5713 8.5713 3.2248
angles (deg): 90.00 90.00 90.00
Last column: nearest neighbours and their distance in Å.
Fractional coordinates of all 10 atoms:
Zr 0.0000 0.0000 0.0000  2 Zr 3.22, 4 Sc 3.40, 8 Tl 3.55
Zr 0.5000 0.5000 0.0000  2 Zr 3.22, 4 Sc 3.40, 8 Tl 3.55
Sc 0.1233 0.3767 0.0000  6 Tl 2.92-3.06, 3 Sc 2.99-3.22
Sc 0.3767 0.8767 0.0000  6 Tl 2.92-3.06, 3 Sc 2.99-3.22
Sc 0.6233 0.1233 0.0000  6 Tl 2.92-3.06, 3 Sc 2.99-3.22
Sc 0.8767 0.6233 0.0000  6 Tl 2.92-3.06, 3 Sc 2.99-3.22
Tl 0.1757 0.6757 0.5000  6 Sc 2.92-3.06, 2 Tl 3.22
Tl 0.3243 0.1757 0.5000  6 Sc 2.92-3.06, 2 Tl 3.22
Tl 0.6757 0.8243 0.5000  6 Sc 2.92-3.06, 2 Tl 3.22
Tl 0.8243 0.3243 0.5000  6 Sc 2.92-3.06, 2 Tl 3.22


Record 10
VASP calculation (GGA-PBE) on an optimized crystal structure of Ba2In3Ga4Pb.

Summary:
Calculated density: 6.564 Mg/m³
DFT formation energy: -338 kJ/mol of formula units

a b c (Å): 4.9389 4.9389 11.4625
angles (deg): 90.00 90.00 90.00
Last column: nearest neighbours and their distance in Å.
Fractional coordinates of all 10 atoms:
Ba 0.0000 0.5000 0.2390  8 Ga 3.69-3.77, 6 In 3.74-3.88, 2 Pb 3.88
Ba 0.5000 0.0000 0.7610  8 Ga 3.69-3.77, 6 In 3.74-3.88, 2 Pb 3.88
In 0.0000 0.5000 0.8774  5 Ga 2.74-2.84
In 0.5000 0.0000 0.1226  5 Ga 2.74-2.84
In 0.5000 0.5000 0.5000  4 Ga 2.93
Ga 0.0000 0.0000 0.0000  4 In 2.84
Ga 0.0000 0.5000 0.6382  3 In 2.74-2.93, 2 Pb 2.93
Ga 0.5000 0.0000 0.3618  3 In 2.74-2.93, 2 Pb 2.93
Ga 0.5000 0.5000 0.0000  4 In 2.84
Pb 0.0000 0.0000 0.5000  4 Ga 2.93


Record 11
VASP calculation (GGA-PBE) on an optimized crystal structure of PrSc3Ni.

Summary:
Calculated density: 4.412 Mg/m³
DFT formation energy: -57 kJ/mol of formula units

a b c (Å): 5.0119 5.0119 5.0119
angles (deg): 90.00 90.00 90.00
Last column: nearest neighbours and their distance in Å.
Fractional coordinates of all 5 atoms:
Pr 0.0000 0.0000 0.0000  12 Sc 3.54
Sc 0.0000 0.5000 0.5000  2 Ni 2.51
Sc 0.5000 0.0000 0.5000  2 Ni 2.51
Sc 0.5000 0.5000 0.0000  2 Ni 2.51
Ni 0.5000 0.5000 0.5000  6 Sc 2.51


Record 12
VASP calculation (GGA-PBE) on an optimized crystal structure of Mg2NiOs.

Summary:
Calculated density: 8.278 Mg/m³
DFT formation energy: 58 kJ/mol of formula units

a b c (Å): 8.8996 8.8996 8.8996
angles (deg): 18.14 18.14 18.14
Last column: nearest neighbours and their distance in Å.
Fractional coordinates of all 4 atoms:
Mg 0.2466 0.2466 0.2466  3 Ni 2.65, 3 Os 2.79, 6 Mg 2.81
Mg 0.7534 0.7534 0.7534  3 Ni 2.65, 3 Os 2.79, 6 Mg 2.81
Ni 0.5000 0.5000 0.5000  6 Mg 2.65, 6 Ni 2.81
Os 0.0000 0.0000 0.0000  6 Mg 2.79, 6 Os 2.81